## YGe (GGA-PBE)

Data for crystalline YGe at its relaxed geometry.

* total magnetization: 0.00 μB/cell
* N(E_F): 0.55 states/eV per atom
* SG: No. 70

a = 10.1101 Å, b = 7.8289 Å, c = 6.9524 Å
α = 86.09°, β = 50.59°, γ = 43.32°
Positions (direct):
Y: 0.0067 0.0067 0.7433
Y: 0.2567 0.2567 0.9933
Y: 0.7433 0.7433 0.0067
Y: 0.9933 0.9933 0.2567
Ge: 0.2788 0.4712 0.2788
Ge: 0.4712 0.2788 0.4712
Ge: 0.5288 0.7212 0.5288
Ge: 0.7212 0.5288 0.7212

=====

## LiInAs2Br (GGA-PBE)

Data for crystalline LiInAs2Br at its relaxed geometry.

* ΔE_f (raw): 0.211 eV/atom
* total magnetization: 0.00 μB/cell
* N(E_F): 0.73 states/eV per atom
* SG: No. 123

a = 4.6257 Å, b = 4.6257 Å, c = 5.8832 Å
α = 90.00°, β = 90.00°, γ = 90.00°
Positions (direct):
Li: 0.0000 0.0000 0.0000
In: 0.5000 0.5000 0.5000
As: 0.0000 0.5000 0.0000
As: 0.5000 0.0000 0.0000
Br: 0.0000 0.0000 0.5000

=====

no.,calculated total energy (eV/f.u.)
1,-12.48
2,-14.57